Entry from Alexandria: an optimized crystal structure of SrZr2Ta (GGA-PBE).

abc: 4.8334 4.8334 4.1660
angles: 90.00 90.00 90.00
With the nearest neighbours (Å) after each atom.
Space group P4/mmm (No. 123)
Symmetry-distinct sites (fractional):
1 Sr 0.0000 0.0000 0.0000 (multiplicity 1)  8 Zr 3.19, 4 Ta 3.42
2 Zr 0.0000 0.5000 0.5000 (multiplicity 2)  4 Ta 3.19, 4 Sr 3.19, 4 Zr 3.42
3 Ta 0.5000 0.5000 0.0000 (multiplicity 1)  8 Zr 3.19, 4 Sr 3.42

Computed properties:
As for the formation energy: 2.951 eV/f.u.

---

Entry from Alexandria: an optimized crystal structure of SrZrTa (GGA-PBE).

abc: 3.2759 4.1401 12.1708
angles: 90.00 90.00 90.00
With the nearest neighbours (Å) after each atom.
Space group Imm2 (No. 44)
Symmetry-distinct sites (fractional):
1 Sr 0.0000 0.0000 0.0000 (multiplicity 2)  2 Sr 3.28, 5 Zr 3.54-3.67, 4 Ta 3.54
2 Zr 0.0000 0.0000 0.2909 (multiplicity 2)  4 Ta 2.89
3 Ta 0.0000 0.0000 0.6939 (multiplicity 2)  4 Zr 2.89

Computed properties:
As for the formation energy: 1.863 eV/f.u.

---

Entry from Alexandria: an optimized crystal structure of SrZr2Ta (GGA-PBE).

abc: 6.5619 9.4305 3.1362
angles: 90.00 90.00 90.00
With the nearest neighbours (Å) after each atom.
Space group Cmmm (No. 65)
Symmetry-distinct sites (fractional):
1 Sr 0.0000 0.0000 0.0000 (multiplicity 2)  2 Sr 3.14, 8 Zr 3.27, 2 Ta 3.28
2 Zr 0.2500 0.2500 0.5000 (multiplicity 4)  4 Zr 3.14-3.28, 4 Ta 3.27, 4 Sr 3.27
3 Ta 0.0000 0.5000 0.0000 (multiplicity 2)  2 Ta 3.14, 8 Zr 3.27, 2 Sr 3.28

Computed properties:
As for the formation energy: 2.759 eV/f.u.

---

Entry from Alexandria: an optimized crystal structure of SrTb (GGA-PBE).

abc: 3.8093 3.8093 6.3618
angles: 90.00 90.00 120.00
With the nearest neighbours (Å) after each atom.
Space group P-6m2 (No. 187)
Symmetry-distinct sites (fractional):
1 Sr 0.0000 0.0000 0.0000 (multiplicity 1)  6 Sr 3.81, 6 Tb 3.87
2 Tb 0.6667 0.3333 0.5000 (multiplicity 1)  6 Tb 3.81, 6 Sr 3.87

Computed properties:
As for the formation energy: 0.475 eV/f.u.

---

Entry from Alexandria: an optimized crystal structure of Sr3Tb (GGA-PBE).

abc: 8.1013 8.1013 6.5516
angles: 90.00 90.00 120.00
With the nearest neighbours (Å) after each atom.
Space group P6_3/mmc (No. 194)
Symmetry-distinct sites (fractional):
1 Sr 0.1719 0.3438 0.2500 (multiplicity 6)  8 Sr 3.92-4.18, 4 Tb 3.98-4.05
2 Tb 0.3333 0.6667 0.7500 (multiplicity 2)  12 Sr 3.98-4.05

Computed properties:
As for the formation energy: 0.788 eV/f.u.

---

Entry from Alexandria: an optimized crystal structure of SrTb6 (GGA-PBE).

abc: 8.2936 8.2936 8.2936
angles: 90.00 90.00 90.00
With the nearest neighbours (Å) after each atom.
Space group Im-3m (No. 229)
Symmetry-distinct sites (fractional):
1 Sr 0.0000 0.0000 0.0000 (multiplicity 2)  24 Tb 4.64
2 Tb 0.0000 0.2500 0.5000 (multiplicity 12)  4 Tb 2.93

Computed properties:
As for the formation energy: 8.880 eV/f.u.

---

| no. | D(E_F) (states/eV/atom) | size of the total moment (μB/cell) |
| --- | --- | --- |
| 1 | 1.322 | 0.0 |
| 2 | 1.201 | 0.0 |
| 3 | 1.393 | 0.0 |
| 4 | 1.723 | 0.5 |
| 5 | 1.681 | 0.9 |
| 6 | 1.273 | 0.0 |